YNi10B2 after structural relaxation. Source: the Alexandria database, functional PBE.

**Crystal system**: orthorhombic
**Magnetization**: 0.0 Bohr magnetons per cell
**E_form**: -0.156 eV per atom

Cell lengths 7.940, 6.224, 5.899 Å; angles 81.79, 50.88, 47.33 degrees
Element x y z (fractional)
Y 0.000 0.000 0.000
Ni 0.000 0.000 0.500
Ni 0.015 0.344 0.656
Ni 0.268 0.482 0.518
Ni 0.344 0.015 0.985
Ni 0.482 0.268 0.732
Ni 0.500 0.500 0.000
Ni 0.518 0.732 0.268
Ni 0.656 0.985 0.015
Ni 0.732 0.518 0.482
Ni 0.985 0.656 0.344
B 0.000 0.500 0.000
B 0.500 0.000 0.500